Entry 1:
Computed, not measured: an optimized crystal structure of BeHgNO at the PBE level of DFT.

## Properties
energy above the most stable polymorph in this dataset: 2.15 eV/f.u.
calculated volume: 12.0 A^3/atom

POSCAR file:
```
BeHgNO
1.0
3.833 0.000 0.000
0.000 3.833 0.000
0.000 0.000 6.520
Be Hg N O
2 2 2 2
Cartesian
2.875 2.875 0.271
0.958 0.958 6.248
2.875 0.958 3.260
0.958 2.875 3.260
2.875 2.875 1.960
0.958 0.958 4.560
2.875 0.958 0.000
0.958 2.875 0.000
```

Entry 2:
Computed, not measured: an optimized crystal structure of BeHgNO at the PBE level of DFT.

## Properties
energy above the most stable polymorph in this dataset: 0.34 eV/f.u.
calculated volume: 11.4 A^3/atom

POSCAR file:
```
BeHgNO
1.0
-1.433 -2.482 0.000
0.000 0.000 5.392
-5.093 2.940 0.000
Be Hg N O
2 2 2 2
Cartesian
-1.755 1.013 2.718
-3.338 1.927 0.022
-1.591 -0.737 5.320
-4.935 1.195 2.624
-2.109 1.218 4.429
-2.984 1.723 1.733
-1.795 -0.618 2.382
-4.731 1.076 5.078
```

Entry 3:
Computed, not measured: an optimized crystal structure of BeHgNO at the PBE level of DFT.

## Properties
energy above the most stable polymorph in this dataset: 0.38 eV/f.u.
calculated volume: 11.2 A^3/atom

POSCAR file:
```
BeHgNO
1.0
3.086 -2.892 0.000
3.086 2.892 0.000
-0.029 0.000 5.040
Be Hg N O
2 2 2 2
Cartesian
5.410 0.000 2.519
2.325 0.000 2.520
3.761 -1.444 5.012
3.761 1.444 5.012
3.865 0.000 3.358
0.782 0.000 3.360
2.320 -1.445 1.710
2.320 1.445 1.710
```

Entry 4:
Computed, not measured: an optimized crystal structure of BeHgNO at the PBE level of DFT.

## Properties
energy above the most stable polymorph in this dataset: 0.00 eV/f.u.
calculated volume: 10.6 A^3/atom

POSCAR file:
```
BeHgNO
1.0
-1.242 -4.340 1.204
4.716 -1.712 -1.308
2.245 1.176 6.556
Be Hg N O
4 4 4 4
Cartesian
2.522 -4.840 3.154
4.584 -3.193 2.152
0.532 -3.791 4.884
2.595 -2.145 3.882
0.459 0.010 1.019
1.910 -2.912 1.046
4.360 -0.038 4.871
5.811 -2.960 4.898
-0.237 -2.127 1.784
2.675 -0.789 0.547
3.578 -2.220 5.387
6.491 -0.882 4.150
3.163 -3.337 2.952
4.975 -1.599 2.020
1.002 -2.377 4.182
2.814 -0.640 3.249
```

Entry 5:
Computed, not measured: an optimized crystal structure of BeHgNO at the PBE level of DFT.

## Properties
energy above the most stable polymorph in this dataset: 0.32 eV/f.u.
calculated volume: 11.3 A^3/atom

POSCAR file:
```
BeHgNO
1.0
-1.559 -2.700 0.000
0.000 0.000 4.926
-5.077 2.931 0.000
Be Hg N O
2 2 2 2
Cartesian
-1.563 -0.898 0.020
-5.073 1.129 2.482
-1.652 0.954 2.342
-3.425 1.978 4.805
-1.535 0.886 4.723
-3.542 2.045 2.261
-1.117 -1.155 1.554
-5.518 1.386 4.017
```

Entry 6:
Computed, not measured: an optimized crystal structure of NaBeHg at the PBE level of DFT.

## Properties
energy above the most stable polymorph in this dataset: 0.00 eV/f.u.
calculated volume: 20.7 A^3/atom

POSCAR file:
```
NaBeHg
1.0
0.756 1.888 3.952
-3.140 2.505 1.903
-2.132 -1.473 3.611
Be Hg Na
1 1 1
Cartesian
0.000 0.000 0.000
-1.129 0.730 2.367
-3.388 2.190 7.100
```